Below is a PBEsol-optimized structure of LaMnP3, with properties calculated at the meta-GGA SCAN level.

a b c (Å): 4.497 4.497 4.497
angles (deg): 90.00 90.00 90.00
Fractional coordinates of all 5 atoms:
La (0.000, 0.000, 0.000)
Mn (0.500, 0.500, 0.500)
P (0.000, 0.500, 0.500)
P (0.500, 0.000, 0.500)
P (0.500, 0.500, 0.000)

Properties
**Final energy**: -95.44 eV per cell
**Offset from the most stable computed form**: 0.000 eV per atom